First-principles (PBE+U) data for KCoF3 after structural relaxation, as listed in the Alexandria database.

The value obtained for the calculated total energy is -3.273 eV per atom. As for the total magnetization: 3.00 μB per formula unit. Its density of states at the Fermi level is 3.26 states/eV/cell.

The space group is Pm-3m (No. 221) and the conventional cell measures 4.676, 4.676 and 4.676 Å, with angles of 90.00, 90.00 and 90.00 degrees. The distinct sites, in fractional coordinates, are K at (0.000, 0.000, 0.000), Co at (0.500, 0.500, 0.500) and F at (0.000, 0.000, 0.500).